No. 1
The following is a DFT calculation (PBE) of crystalline LiMg2Cu at its relaxed geometry.

Lattice parameters (Å, degrees): 5.5411 5.5411 4.5704 64.75 64.75 33.64
Closest atoms and distances in Å follow each position.
Sites, in units of the cell vectors:
Mg: 0.9976 0.9976 0.0005  4 Cu 2.79-2.80, 3 Li 3.08, 4 Mg 3.09-3.12
Mg: 0.7756 0.7756 0.7275  2 Cu 2.71, 4 Li 2.83-2.85
Cu: 0.5059 0.5059 0.4905  2 Li 2.60, 6 Mg 2.71-2.80
Li: 0.2209 0.2209 0.2815  2 Cu 2.60, 4 Mg 2.83-2.85

Results
energy relative to the elements: -0.06 eV/atom
SG: Cm

---

No. 2
The following is a DFT calculation (PBE) of crystalline KHfGe3 at its relaxed geometry.

Lattice parameters (Å, degrees): 5.1137 5.1137 5.1137 90.00 90.00 90.00
Closest atoms and distances in Å follow each position.
Sites, in units of the cell vectors:
Ge: 0.0000 0.5000 0.0000  2 K 2.56
Ge: 0.0000 0.0000 0.5000  2 K 2.56
Ge: 0.5000 0.0000 0.0000  2 K 2.56
Hf: 0.5000 0.5000 0.5000  12 Ge 3.62
K: 0.0000 0.0000 0.0000  6 Ge 2.56

Results
energy relative to the elements: 1.65 eV/atom
SG: Pm-3m